Computed, not measured: crystalline ReTe3Pd at its relaxed geometry at the PBE level of DFT.

a b c (Å): 5.2119 5.2119 5.2119
angles (deg): 90.00 90.00 90.00
Closest atoms and distances in Å follow each position.
Element x y z (fractional)
Re (0.0000, 0.0000, 0.0000)  6 Te 2.61
Te (0.0000, 0.0000, 0.5000)  2 Re 2.61
Te (0.0000, 0.5000, 0.0000)  2 Re 2.61
Te (0.5000, 0.0000, 0.0000)  2 Re 2.61
Pd (0.5000, 0.5000, 0.5000)  12 Te 3.69

Properties
offset from the most stable computed form	904	meV/atom
SG	No. 221